[1]
# BaNaUS4 | Alexandria | PBE | optimized geometry
data_BaNaUS4
_chemical_formula_sum 'Ba1 Na1 U1 S4'
_symmetry_space_group_name_H-M 'P 1'
_symmetry_Int_Tables_number 1
_cell_length_a 8.520
_cell_length_b 8.520
_cell_length_c 8.520
_cell_angle_alpha 144.39
_cell_angle_beta 144.39
_cell_angle_gamma 51.24
loop_
_symmetry_equiv_pos_as_xyz
'x,y,z'
loop_
_atom_site_label
_atom_site_type_symbol
_atom_site_fract_x
_atom_site_fract_y
_atom_site_fract_z
_atom_site_occupancy
Ba1 Ba 0.000 0.000 0.000 1
Na1 Na 0.285 0.285 0.000 1
U1 U 0.640 0.640 0.000 1
S1 S 0.137 0.637 0.500 1
S2 S 0.472 0.472 0.000 1
S3 S 0.637 0.137 0.500 1
S4 S 0.802 0.802 0.000 1
# Final energy ... -41.40 eV per cell
# Crystal system ... tetragonal
# ΔE_f (raw) ... -1481 meV/atom

=====

[2]
# Ba3Na2US6 | Alexandria | PBE | optimized geometry
data_Ba3Na2US6
_chemical_formula_sum 'Ba3 Na2 U1 S6'
_symmetry_space_group_name_H-M 'P 1'
_symmetry_Int_Tables_number 1
_cell_length_a 7.438
_cell_length_b 7.438
_cell_length_c 8.017
_cell_angle_alpha 90.00
_cell_angle_beta 90.00
_cell_angle_gamma 120.00
loop_
_symmetry_equiv_pos_as_xyz
'x,y,z'
loop_
_atom_site_label
_atom_site_type_symbol
_atom_site_fract_x
_atom_site_fract_y
_atom_site_fract_z
_atom_site_occupancy
Ba1 Ba 0.000 0.000 0.000 1
Ba2 Ba 0.333 0.667 0.585 1
Ba3 Ba 0.667 0.333 0.415 1
Na1 Na 0.333 0.667 0.110 1
Na2 Na 0.667 0.333 0.890 1
U1 U 0.000 0.000 0.500 1
S1 S 0.163 0.326 0.301 1
S2 S 0.163 0.837 0.301 1
S3 S 0.326 0.163 0.699 1
S4 S 0.674 0.837 0.301 1
S5 S 0.837 0.163 0.699 1
S6 S 0.837 0.674 0.699 1
# Final energy ... -62.48 eV per cell
# Crystal system ... trigonal
# ΔE_f (raw) ... -1502 meV/atom

=====

[3]
# BaNa2US4 | Alexandria | PBE | optimized geometry
data_BaNa2US4
_chemical_formula_sum 'Ba1 Na2 U1 S4'
_symmetry_space_group_name_H-M 'P 1'
_symmetry_Int_Tables_number 1
_cell_length_a 7.824
_cell_length_b 7.824
_cell_length_c 7.824
_cell_angle_alpha 137.14
_cell_angle_beta 137.14
_cell_angle_gamma 62.23
loop_
_symmetry_equiv_pos_as_xyz
'x,y,z'
loop_
_atom_site_label
_atom_site_type_symbol
_atom_site_fract_x
_atom_site_fract_y
_atom_site_fract_z
_atom_site_occupancy
Ba1 Ba 0.000 0.000 0.000 1
Na1 Na 0.500 0.500 0.000 1
Na2 Na 0.750 0.250 0.500 1
U1 U 0.250 0.750 0.500 1
S1 S 0.054 0.554 0.500 1
S2 S 0.246 0.246 0.000 1
S3 S 0.446 0.946 0.500 1
S4 S 0.754 0.754 0.000 1
# Final energy ... -43.95 eV per cell
# Crystal system ... tetragonal
# ΔE_f (raw) ... -1449 meV/atom

=====

Which value of ΔE_f (raw) does entry 3 give?
-1449 meV/atom

=====

Look up the ΔE_f (raw) of the third one.
-1449 meV/atom

=====

Which of these has the lowest ΔE_f (raw)?
Ba3Na2US6

=====

Look up the ΔE_f (raw) of the first one.
-1481 meV/atom